Compound: Sr2FePPd
Source: the Alexandria database
Functional: PBE
Structure: relaxed

```
Sr2FePPd
1.0
5.806 0.000 0.000
0.000 4.194 0.000
0.000 0.000 5.806
Sr Fe Pd P
2 1 1 1
Cartesian
0.000 0.000 2.903 Sr
2.903 0.000 0.000 Sr
0.000 2.097 0.000 Fe
2.903 2.097 2.903 Pd
0.000 0.000 0.000 P
```

Computed properties:
Total energy = -23.43 eV for the cell shown
Energy of formation from the pure elements = -0.200 eV/atom
Space-group type = P4/mmm